The following is a DFT calculation (PBE-GGA) of an optimized crystal structure of Tb2Sm3Al3.

a b c (Å): 11.415 11.415 11.415
angles (deg): 161.20 153.43 32.75
Element x y z (fractional)
Tb 0.230 0.230 0.000
Tb 0.770 0.770 0.000
Sm 0.000 0.000 0.000
Sm 0.380 0.880 0.500
Sm 0.620 0.120 0.500
Al 0.118 0.618 0.500
Al 0.500 0.500 0.000
Al 0.882 0.382 0.500

- theoretical density (g/cm3) = 6.59
- magnetization (μB per formula unit) = 0.0
- calculated formation energy (eV per atom) = -0.2789
- energy (eV/cell) = -36.9
- SG = No. 71
- distance to the lowest polymorph of the same formula (eV/atom) = 0.000

***

The following is a DFT calculation (PBE-GGA) of an optimized crystal structure of Tb7SmAl4.

a b c (Å): 6.520 6.530 8.509
angles (deg): 112.50 93.12 90.06
Element x y z (fractional)
Tb 0.000 0.000 0.000
Tb 0.079 0.787 0.575
Tb 0.221 0.436 0.869
Tb 0.432 0.250 0.501
Tb 0.568 0.750 0.499
Tb 0.779 0.564 0.131
Tb 0.921 0.213 0.425
Sm 0.500 0.000 0.000
Al 0.245 0.817 0.233
Al 0.246 0.416 0.233
Al 0.754 0.584 0.767
Al 0.755 0.183 0.767

- theoretical density (g/cm3) = 6.81
- magnetization (μB per formula unit) = 0.0
- calculated formation energy (eV per atom) = -0.1930
- energy (eV/cell) = -54.4
- SG = No. 2

***

The following is a DFT calculation (PBE-GGA) of an optimized crystal structure of Tb4Sm15Al.

a b c (Å): 5.041 5.041 25.457
angles (deg): 90.00 90.00 90.00
Element x y z (fractional)
Tb 0.000 0.000 0.101
Tb 0.000 0.000 0.304
Tb 0.000 0.000 0.696
Tb 0.000 0.000 0.899
Sm 0.000 0.500 0.000
Sm 0.000 0.500 0.203
Sm 0.000 0.500 0.407
Sm 0.000 0.500 0.593
Sm 0.000 0.500 0.797
Sm 0.500 0.000 0.000
Sm 0.500 0.000 0.203
Sm 0.500 0.000 0.407
Sm 0.500 0.000 0.593
Sm 0.500 0.000 0.797
Sm 0.500 0.500 0.102
Sm 0.500 0.500 0.305
Sm 0.500 0.500 0.500
Sm 0.500 0.500 0.695
Sm 0.500 0.500 0.898
Al 0.000 0.000 0.500

- theoretical density (g/cm3) = 7.49
- magnetization (μB per formula unit) = 0.0
- calculated formation energy (eV per atom) = -0.0117
- energy (eV/cell) = -93.3
- SG = No. 123

***

The following is a DFT calculation (PBE-GGA) of an optimized crystal structure of Tb3Sm2Al3.

a b c (Å): 11.394 11.394 11.394
angles (deg): 161.23 153.78 32.44
Element x y z (fractional)
Tb 0.000 0.000 0.000
Tb 0.382 0.882 0.500
Tb 0.618 0.118 0.500
Sm 0.229 0.229 0.000
Sm 0.771 0.771 0.000
Al 0.114 0.614 0.500
Al 0.500 0.500 0.000
Al 0.886 0.386 0.500

- theoretical density (g/cm3) = 6.78
- magnetization (μB per formula unit) = 0.0
- calculated formation energy (eV per atom) = -0.2813
- energy (eV/cell) = -36.8
- SG = No. 71
- distance to the lowest polymorph of the same formula (eV/atom) = 0.000

***

The following is a DFT calculation (PBE-GGA) of an optimized crystal structure of TbSmAl.

a b c (Å): 8.186 8.186 8.186
angles (deg): 24.80 24.80 24.80
Element x y z (fractional)
Tb 0.000 0.000 0.000
Sm 0.793 0.793 0.793
Al 0.566 0.566 0.566

- theoretical density (g/cm3) = 6.58
- magnetization (μB per formula unit) = 0.0
- calculated formation energy (eV per atom) = -0.0151
- energy (eV/cell) = -13.1
- SG = No. 160
- distance to the lowest polymorph of the same formula (eV/atom) = 0.215

***

The following is a DFT calculation (PBE-GGA) of an optimized crystal structure of TbSmAl.

a b c (Å): 7.274 7.274 7.274
angles (deg): 152.35 152.35 39.50
Element x y z (fractional)
Tb 0.000 0.000 0.000
Sm 0.705 0.705 0.000
Al 0.356 0.356 0.000

- theoretical density (g/cm3) = 6.75
- magnetization (μB per formula unit) = 0.0
- calculated formation energy (eV per atom) = -0.2301
- energy (eV/cell) = -13.8
- SG = No. 107
- distance to the lowest polymorph of the same formula (eV/atom) = 0.000

***

The following is a DFT calculation (PBE-GGA) of an optimized crystal structure of TbSm6Al2.

a b c (Å): 6.661 6.661 11.930
angles (deg): 108.61 108.61 32.77
Element x y z (fractional)
Tb 0.000 0.000 0.000
Sm 0.024 0.024 0.326
Sm 0.311 0.311 0.411
Sm 0.313 0.313 0.124
Sm 0.687 0.687 0.876
Sm 0.689 0.689 0.589
Sm 0.976 0.976 0.674
Al 0.351 0.351 0.800
Al 0.649 0.649 0.200

- theoretical density (g/cm3) = 6.85
- magnetization (μB per formula unit) = 0.0
- calculated formation energy (eV per atom) = -0.1471
- energy (eV/cell) = -41.8
- SG = No. 12

***

The following is a DFT calculation (PBE-GGA) of an optimized crystal structure of TbSm6Al.

a b c (Å): 4.932 4.932 10.148
angles (deg): 90.00 90.00 90.00
Element x y z (fractional)
Tb 0.000 0.000 0.000
Sm 0.000 0.500 0.262
Sm 0.000 0.500 0.738
Sm 0.500 0.000 0.262
Sm 0.500 0.000 0.738
Sm 0.500 0.500 0.000
Sm 0.500 0.500 0.500
Al 0.000 0.000 0.500

- theoretical density (g/cm3) = 7.32
- magnetization (μB per formula unit) = 0.0
- calculated formation energy (eV per atom) = -0.0621
- energy (eV/cell) = -37.2
- SG = No. 123
- distance to the lowest polymorph of the same formula (eV/atom) = 0.000

***

The following is a DFT calculation (PBE-GGA) of an optimized crystal structure of TbSm14Al.

a b c (Å): 11.212 6.950 6.950
angles (deg): 74.28 90.00 90.00
Element x y z (fractional)
Tb 0.000 0.000 0.000
Sm 0.000 0.518 0.942
Sm 0.000 0.942 0.518
Sm 0.232 0.305 0.717
Sm 0.232 0.717 0.305
Sm 0.234 0.232 0.232
Sm 0.258 0.797 0.797
Sm 0.500 0.002 0.002
Sm 0.500 0.434 0.434
Sm 0.500 0.506 0.929
Sm 0.500 0.929 0.506
Sm 0.742 0.797 0.797
Sm 0.766 0.232 0.232
Sm 0.768 0.305 0.717
Sm 0.768 0.717 0.305
Al 0.000 0.447 0.447

- theoretical density (g/cm3) = 7.30
- magnetization (μB per formula unit) = 0.0
- calculated formation energy (eV per atom) = 0.0211
- energy (eV/cell) = -74.1
- SG = No. 38

***

The following is a DFT calculation (PBE-GGA) of an optimized crystal structure of Tb4Sm9Al11.

a b c (Å): 13.681 13.681 3.447
angles (deg): 90.00 90.00 110.00
Element x y z (fractional)
Tb 0.090 0.258 0.000
Tb 0.258 0.090 0.000
Tb 0.742 0.910 0.000
Tb 0.910 0.742 0.000
Sm 0.000 0.000 0.000
Sm 0.114 0.660 0.000
Sm 0.296 0.484 0.000
Sm 0.340 0.886 0.000
Sm 0.484 0.296 0.000
Sm 0.516 0.704 0.000
Sm 0.660 0.114 0.000
Sm 0.704 0.516 0.000
Sm 0.886 0.340 0.000
Al 0.086 0.456 0.500
Al 0.122 0.878 0.500
Al 0.291 0.291 0.500
Al 0.315 0.685 0.500
Al 0.456 0.086 0.500
Al 0.500 0.500 0.500
Al 0.544 0.914 0.500
Al 0.685 0.315 0.500
Al 0.709 0.709 0.500
Al 0.878 0.122 0.500
Al 0.914 0.544 0.500

- theoretical density (g/cm3) = 6.26
- magnetization (μB per formula unit) = 0.0
- calculated formation energy (eV per atom) = -0.3060
- energy (eV/cell) = -109.5
- SG = No. 65

***

The following is a DFT calculation (PBE-GGA) of an optimized crystal structure of Tb4Sm2Al.

a b c (Å): 19.274 19.274 19.274
angles (deg): 10.78 10.78 10.78
Element x y z (fractional)
Tb 0.090 0.090 0.090
Tb 0.294 0.294 0.294
Tb 0.706 0.706 0.706
Tb 0.910 0.910 0.910
Sm 0.193 0.193 0.193
Sm 0.807 0.807 0.807
Al 0.000 0.000 0.000

- theoretical density (g/cm3) = 7.35
- magnetization (μB per formula unit) = 0.0
- calculated formation energy (eV per atom) = -0.0265
- energy (eV/cell) = -31.9
- SG = No. 166

***

The following is a DFT calculation (PBE-GGA) of an optimized crystal structure of Tb3Sm12Al.

a b c (Å): 5.023 5.023 20.379
angles (deg): 90.00 90.00 90.00
Element x y z (fractional)
Tb 0.000 0.000 0.000
Tb 0.000 0.000 0.254
Tb 0.000 0.000 0.746
Sm 0.000 0.500 0.128
Sm 0.000 0.500 0.383
Sm 0.000 0.500 0.617
Sm 0.000 0.500 0.872
Sm 0.500 0.000 0.128
Sm 0.500 0.000 0.383
Sm 0.500 0.000 0.617
Sm 0.500 0.000 0.872
Sm 0.500 0.500 0.000
Sm 0.500 0.500 0.256
Sm 0.500 0.500 0.500
Sm 0.500 0.500 0.744
Al 0.000 0.000 0.500

- theoretical density (g/cm3) = 7.45
- magnetization (μB per formula unit) = 0.0
- calculated formation energy (eV per atom) = -0.0160
- energy (eV/cell) = -74.5
- SG = No. 123